Entry 1:
VASP calculation (GGA-PBE) on an optimized crystal structure of LiTcSn2.

a b c (Å): 9.026 9.026 9.026
angles (deg): 20.76 20.76 20.76
Element x y z (fractional)
Li 0.000 0.000 0.000
Tc 0.164 0.164 0.164
Sn 0.575 0.575 0.575
Sn 0.755 0.755 0.755

Properties
SG = R3m (160)
Relative energy among the computed polymorphs = 55.0 meV/atom

Entry 2:
VASP calculation (GGA-PBE) on an optimized crystal structure of Li2TiTcSn.

a b c (Å): 4.474 4.474 5.043
angles (deg): 90.00 90.00 90.00
Element x y z (fractional)
Li 0.000 0.500 0.000
Li 0.500 0.000 0.000
Ti 0.000 0.000 0.500
Tc 0.500 0.500 0.500
Sn 0.500 0.500 0.000

Properties
SG = P4/mmm (123)
Uncorrected energy = -21.59 eV per formula unit

Number 1: V 80.92 Å³ per cell. Number 2: V 100.95 Å³ per cell.